DFT (PBE-GGA) results for Li4ZnPd4 after structural relaxation.

Cell and atoms, written as extended XYZ:
```
9
Lattice="-3.163 0.261 -2.553 1.854 -0.674 -5.616 -2.363 -5.393 -0.872" Properties=species:S:1:pos:R:3 pbc="T T T"
Zn 0.000 0.000 0.000
Li -1.821 -4.026 -7.904
Pd -4.170 -3.615 -4.950
Li -1.852 -1.780 -1.137
Li -0.915 -0.266 -5.392
Pd -1.362 -4.032 -5.223
Li -2.757 -5.540 -3.649
Pd -2.310 -1.774 -3.818
Pd 0.498 -2.191 -4.091
```

## Properties
Size of the total moment = 0.00 μB/f.u.
Formation enthalpy at 0 K = -0.417 eV/atom
E_tot = -3.7172 eV/atom